Entry from Alexandria: an optimized crystal structure of Dy8C3Se3O (PBE).

Results
The calculation puts the formation energy (no corrections) at -1.29 eV per atom. Its symmetry is No. 166.

Unit cell a=7.430 b=7.427 c=7.767 alpha=118.54 beta=90.00 gamma=119.98
Positions (direct):
1 Dy 0.265 0.530 0.295
2 Dy 0.735 0.470 0.705
3 Dy 0.759 0.518 0.293
4 Dy 0.241 0.482 0.707
5 Dy 0.759 0.034 0.293
6 Dy 0.241 0.966 0.707
7 Dy 0.275 0.034 0.293
8 Dy 0.725 0.966 0.707
9 C 0.500 0.000 0.500
10 C 0.500 0.500 0.500
11 C 0.000 0.500 0.500
12 Se 0.000 0.000 0.000
13 Se 0.000 0.500 0.000
14 Se 0.500 0.500 0.000
15 O 0.000 0.000 0.500



Entry from Alexandria: an optimized crystal structure of Tb14SmZr (PBE).

Results
Its symmetry is No. 123. As for the formation energy: 36 meV per atom.

Unit cell a=7.083 b=7.083 c=9.983 alpha=90.00 beta=90.00 gamma=90.00
Positions (direct):
1 Tb 0.375 0.625 0.500
2 Tb 0.875 0.125 0.500
3 Tb 0.875 0.625 0.000
4 Tb 0.875 0.625 0.500
5 Tb 0.375 0.125 0.000
6 Tb 0.375 0.125 0.500
7 Tb 0.630 0.880 0.755
8 Tb 0.630 0.880 0.245
9 Tb 0.120 0.370 0.755
10 Tb 0.120 0.370 0.245
11 Tb 0.120 0.880 0.755
12 Tb 0.120 0.880 0.245
13 Tb 0.630 0.370 0.755
14 Tb 0.630 0.370 0.245
15 Sm 0.375 0.625 0.000
16 Zr 0.875 0.125 0.000



Entry from Alexandria: an optimized crystal structure of ZrAl2Ni9 (PBE).

Results
For the offset from the most stable computed form, the calculation gives 0.0000 eV per atom. Its symmetry is No. 123. As for the formation energy: -433 meV per atom.

Unit cell a=3.657 b=3.657 c=10.732 alpha=90.00 beta=90.00 gamma=90.00
Site moments in Bohr magnetons follow the coordinates.
Positions (direct):
1 Zr 0.000 0.000 0.000  -0.03
2 Al 0.000 0.000 0.341  -0.01
3 Al 0.000 0.000 0.659  -0.01
4 Ni 0.500 0.500 0.000  0.02
5 Ni 0.500 0.500 0.340  0.21
6 Ni 0.500 0.500 0.660  0.21
7 Ni 0.500 0.000 0.180  0.11
8 Ni 0.500 0.000 0.500  0.20
9 Ni 0.500 0.000 0.820  0.11
10 Ni 0.000 0.500 0.180  0.11
11 Ni 0.000 0.500 0.500  0.20
12 Ni 0.000 0.500 0.820  0.11



Entry from Alexandria: an optimized crystal structure of BeAlZn (PBE).

Results
For the offset from the most stable computed form, the calculation gives 0.1191 eV per atom. Its symmetry is No. 187. As for the formation energy: 237 meV per atom.

Unit cell a=3.957 b=3.957 c=3.007 alpha=90.00 beta=90.00 gamma=120.00
Positions (direct):
1 Be 0.667 0.333 0.501
2 Zn 0.333 0.667 0.500
3 Al 0.000 0.000 0.000